Here is a relaxed Pm2Sm6Ru crystal from Alexandria via LeMat-Bulk. Energies are from PBE-GGA.

Cell: 3.780 8.845 12.873 Å, 136.36 90.00 89.99°
Fractional positions:
Sm (0.000, 0.768, 0.214)
Sm (0.000, 0.232, 0.786)
Sm (0.001, 0.264, 0.300)
Sm (0.500, 0.276, 0.049)
Sm (0.999, 0.736, 0.700)
Sm (0.500, 0.724, 0.951)
Ru (0.000, 0.000, 0.000)
Pm (0.500, 0.768, 0.468)
Pm (0.500, 0.232, 0.532)

Summary:
energy relative to the elements: -0.03 eV/atom
DFT total energy: -47.4 eV/cell
density of states at the Fermi level: 13.93 states/eV/cell
M_tot: 0.0 μB per formula unit



Here is a relaxed PmSmRu4 crystal from Alexandria via LeMat-Bulk. Energies are from PBE-GGA.

Cell: 5.397 5.397 5.397 Å, 60.00 60.00 60.00°
Fractional positions:
Ru (0.625, 0.625, 0.125)
Ru (0.625, 0.125, 0.625)
Ru (0.625, 0.625, 0.625)
Ru (0.125, 0.625, 0.625)
Sm (0.000, 0.000, 0.000)
Pm (0.250, 0.250, 0.250)

Summary:
energy relative to the elements: -0.19 eV/atom
DFT total energy: -47.7 eV/cell
density of states at the Fermi level: 6.99 states/eV/cell
M_tot: 0.0 μB per formula unit



Here is a relaxed PmSmRu crystal from Alexandria via LeMat-Bulk. Energies are from PBE-GGA.

Cell: 3.783 4.755 4.755 Å, 120.00 90.00 90.00°
Fractional positions:
Sm (0.726, 0.667, 0.333)
Pm (0.278, 0.333, 0.667)
Ru (0.996, 0.000, 0.000)

Summary:
energy above the most stable polymorph in this dataset: 173.7 meV per atom
energy relative to the elements: -0.04 eV/atom
DFT total energy: -18.9 eV/cell
density of states at the Fermi level: 2.36 states/eV/cell
M_tot: 0.0 μB per formula unit



Here is a relaxed Pm2SmRu crystal from Alexandria via LeMat-Bulk. Energies are from PBE-GGA.

Cell: 6.438 7.387 9.638 Å, 90.00 90.00 90.00°
Fractional positions:
Pm (0.330, 0.177, 0.067)
Pm (0.170, 0.677, 0.067)
Pm (0.830, 0.323, 0.567)
Pm (0.670, 0.823, 0.567)
Pm (0.830, 0.323, 0.933)
Pm (0.170, 0.677, 0.433)
Pm (0.330, 0.177, 0.433)
Pm (0.670, 0.823, 0.933)
Sm (0.357, 0.458, 0.750)
Sm (0.643, 0.542, 0.250)
Sm (0.857, 0.042, 0.250)
Sm (0.143, 0.958, 0.750)
Ru (0.951, 0.614, 0.750)
Ru (0.049, 0.386, 0.250)
Ru (0.549, 0.114, 0.750)
Ru (0.451, 0.886, 0.250)

Summary:
energy above the most stable polymorph in this dataset: 0.0 meV per atom
energy relative to the elements: -0.22 eV/atom
DFT total energy: -97.5 eV/cell
density of states at the Fermi level: 15.55 states/eV/cell
M_tot: 0.0 μB per formula unit